An optimized crystal structure of CsHgPd3, computed with PBE-GGA.

Lattice parameters (Å, degrees): 5.333 5.333 5.333 90.00 90.00 90.00
Fractional positions:
Hg1 0.500 0.500 0.500
Cs1 0.000 0.000 0.000
Pd1 0.000 0.500 0.000
Pd2 0.500 0.000 0.000
Pd3 0.000 0.000 0.500

Properties
DFT total energy in eV/atom: -2.15
Relative energy among the computed polymorphs in eV/atom: 0.768
Formation energy from the elements in eV per atom: 1.20
Symmetry: Pm-3m (221)
Magnetic moment in μB per formula unit: 0.00